*one*
DFT (PBE-GGA) results for KLa2Os after structural relaxation.

abc: 8.5457 8.5457 8.5416
angles: 59.98 59.98 90.00
Closest atoms and distances in Å follow each position.
Positions (direct):
K (0.2500, 0.7500, 0.5000)  12 La 5.00-5.02, 4 K 5.23, 4 Os 5.23
K (0.5000, 0.5000, 0.0000)  12 La 5.00-5.02, 4 K 5.23, 4 Os 5.23
Os (0.0000, 0.0000, 0.0000)  4 La 2.62
Os (0.7500, 0.2500, 0.5000)  4 La 2.62
La (0.8742, 0.1250, 0.2500)  2 Os 2.62
La (0.8758, 0.6250, 0.2500)  2 Os 2.62
La (0.8750, 0.1242, 0.7500)  2 Os 2.62
La (0.3750, 0.1258, 0.7500)  2 Os 2.62

Summary:
Crystal system: tetragonal



*two*
DFT (PBE-GGA) results for KLa2Os after structural relaxation.

abc: 5.1023 5.1023 4.2032
angles: 89.96 89.96 89.99
Closest atoms and distances in Å follow each position.
Positions (direct):
La (0.0000, 0.0000, 0.0000)  4 Os 3.30-3.31, 4 K 3.30-3.31, 4 La 3.61
K (0.0000, 0.5000, 0.5000)  8 La 3.30-3.31, 4 Os 3.61
Os (0.5000, 0.0000, 0.5000)  8 La 3.30-3.31, 4 K 3.61
La (0.5000, 0.5000, 0.0000)  4 K 3.30-3.31, 4 Os 3.30-3.31, 4 La 3.61

Summary:
Crystal system: tetragonal



*three*
DFT (PBE-GGA) results for KLa2Os after structural relaxation.

abc: 4.1317 4.1317 9.9735
angles: 90.00 90.00 90.00
Closest atoms and distances in Å follow each position.
Positions (direct):
Os (0.0000, 0.0000, 0.3267)  1 La 2.44
La (0.5000, 0.5000, 0.3485)  4 Os 2.93
K (0.5000, 0.5000, 0.7427)  1 La 3.93, 4 K 4.13
La (0.0000, 0.0000, 0.0821)  1 Os 2.44

Summary:
Crystal system: tetragonal



The data favor *three*; the next most stable structure lies 98 meV per atom above it.



*one*
DFT (PBE-GGA) results for KLaOs3 after structural relaxation.

abc: 5.0656 5.0656 5.0656
angles: 90.00 90.00 90.00
Closest atoms and distances in Å follow each position.
Positions (direct):
K (0.5000, 0.5000, 0.5000)  12 Os 3.58
La (0.0000, 0.0000, 0.0000)  6 Os 2.53
Os (0.0000, 0.0000, 0.5000)  2 La 2.53
Os (0.5000, 0.0000, 0.0000)  2 La 2.53
Os (0.0000, 0.5000, 0.0000)  2 La 2.53

Summary:
Crystal system: cubic



*two*
DFT (PBE-GGA) results for KLaOs3 after structural relaxation.

abc: 4.7438 4.7438 4.7438
angles: 90.00 90.00 90.00
Closest atoms and distances in Å follow each position.
Positions (direct):
Os (0.0000, 0.5000, 0.0000)  2 K 2.37
La (0.5000, 0.5000, 0.5000)  12 Os 3.35
Os (0.5000, 0.0000, 0.0000)  2 K 2.37
Os (0.0000, 0.0000, 0.5000)  2 K 2.37
K (0.0000, 0.0000, 0.0000)  6 Os 2.37

Summary:
Crystal system: cubic



The data favor *one*; the next most stable structure lies 268 meV per atom above it.



*one*
DFT (PBE-GGA) results for KLa3P after structural relaxation.

abc: 5.8220 5.8220 5.8220
angles: 90.00 90.00 90.00
Closest atoms and distances in Å follow each position.
Positions (direct):
K (0.5000, 0.5000, 0.5000)  12 La 4.12
La (0.0000, 0.0000, 0.5000)  2 P 2.91
P (0.0000, 0.0000, 0.0000)  6 La 2.91
La (0.5000, 0.0000, 0.0000)  2 P 2.91
La (0.0000, 0.5000, 0.0000)  2 P 2.91

Summary:
Crystal system: cubic



*two*
DFT (PBE-GGA) results for KLa3P after structural relaxation.

abc: 5.3558 5.3558 5.3558
angles: 90.00 90.00 90.00
Closest atoms and distances in Å follow each position.
Positions (direct):
La (0.0000, 0.5000, 0.0000)  2 K 2.68
La (0.5000, 0.0000, 0.0000)  2 K 2.68
La (0.0000, 0.0000, 0.5000)  2 K 2.68
K (0.0000, 0.0000, 0.0000)  6 La 2.68
P (0.5000, 0.5000, 0.5000)  12 La 3.79

Summary:
Crystal system: cubic



The data favor *one*; the next most stable structure lies 1344 meV per atom above it.



*one*
DFT (PBE-GGA) results for KLaP3 after structural relaxation.

abc: 5.0830 5.0830 5.0830
angles: 90.00 90.00 90.00
Closest atoms and distances in Å follow each position.
Positions (direct):
K (0.0000, 0.0000, 0.0000)  6 P 2.54
La (0.5000, 0.5000, 0.5000)  12 P 3.59
P (0.0000, 0.5000, 0.0000)  2 K 2.54
P (0.5000, 0.0000, 0.0000)  2 K 2.54
P (0.0000, 0.0000, 0.5000)  2 K 2.54

Summary:
Crystal system: cubic



*two*
DFT (PBE-GGA) results for KLaP3 after structural relaxation.

abc: 5.5581 5.5581 5.5581
angles: 90.00 90.00 90.00
Closest atoms and distances in Å follow each position.
Positions (direct):
P (0.5000, 0.0000, 0.0000)  2 La 2.78
P (0.0000, 0.0000, 0.5000)  2 La 2.78
La (0.0000, 0.0000, 0.0000)  6 P 2.78
K (0.5000, 0.5000, 0.5000)  12 P 3.93
P (0.0000, 0.5000, 0.0000)  2 La 2.78

Summary:
Crystal system: cubic



The data favor *two*; the next most stable structure lies 547 meV per atom above it.



*one*
DFT (PBE-GGA) results for KLaPS2 after structural relaxation.

abc: 5.5843 5.5843 5.8819
angles: 90.00 90.00 90.00
Closest atoms and distances in Å follow each position.
Positions (direct):
P (0.0000, 0.0000, 0.5000)  2 La 2.94
La (0.0000, 0.0000, 0.0000)  4 S 2.79, 2 P 2.94
S (0.5000, 0.0000, 0.0000)  2 La 2.79
S (0.0000, 0.5000, 0.0000)  2 La 2.79
K (0.5000, 0.5000, 0.5000)  4 P 3.95, 8 S 4.06

Summary:
Crystal system: tetragonal



*two*
DFT (PBE-GGA) results for KLaPS2 after structural relaxation.

abc: 5.2312 5.2312 4.9624
angles: 90.00 90.00 90.00
Closest atoms and distances in Å follow each position.
Positions (direct):
P (0.0000, 0.0000, 0.5000)  2 K 2.48
La (0.5000, 0.5000, 0.5000)  8 S 3.61, 4 P 3.70
K (0.0000, 0.0000, 0.0000)  2 P 2.48, 4 S 2.62
S (0.0000, 0.5000, 0.0000)  2 K 2.62
S (0.5000, 0.0000, 0.0000)  2 K 2.62

Summary:
Crystal system: tetragonal



The data favor *one*; the next most stable structure lies 781 meV per atom above it.



*one*
DFT (PBE-GGA) results for KLaPb2 after structural relaxation.

abc: 5.7731 5.7731 5.7731
angles: 60.00 60.00 60.00
Closest atoms and distances in Å follow each position.
Positions (direct):
La (0.7500, 0.7500, 0.7500)  4 K 3.54, 4 Pb 3.54
Pb (0.2500, 0.2500, 0.2500)  4 Pb 3.54, 4 K 3.54
K (0.5000, 0.5000, 0.5000)  4 La 3.54, 4 Pb 3.54
Pb (0.0000, 0.0000, 0.0000)  4 La 3.54, 4 Pb 3.54

Summary:
Crystal system: cubic



*two*
DFT (PBE-GGA) results for KLaPb2 after structural relaxation.

abc: 4.9032 3.7285 8.7156
angles: 64.51 90.00 90.00
Closest atoms and distances in Å follow each position.
Positions (direct):
Pb (0.0000, 0.4548, 0.5464)  1 Pb 3.20, 4 La 3.47
K (0.5000, 0.2500, 0.2500)  2 K 3.73, 8 Pb 3.86-3.87, 2 La 3.93
La (0.5000, 0.7500, 0.7500)  8 Pb 3.47, 2 La 3.73
Pb (0.0000, 0.0452, 0.9536)  1 Pb 3.20, 4 La 3.47

Summary:
Crystal system: monoclinic



The data favor *two*; the next most stable structure lies 356 meV per atom above it.



*one*
DFT (PBE-GGA) results for KLaPb2 after structural relaxation.

abc: 6.6462 6.6462 6.6462
angles: 137.00 137.00 62.44
Closest atoms and distances in Å follow each position.
Positions (direct):
Pb (0.2500, 0.7500, 0.5000)  4 La 3.44, 4 Pb 3.74, 4 K 3.74
La (0.7500, 0.2500, 0.5000)  8 Pb 3.44-3.74, 4 K 3.74
Pb (0.0000, 0.0000, 0.0000)  4 K 3.44, 4 Pb 3.74, 4 La 3.74
K (0.5000, 0.5000, 0.0000)  8 Pb 3.44-3.74, 4 La 3.74

Summary:
Crystal system: tetragonal



*two*
DFT (PBE-GGA) results for KLaPb2 after structural relaxation.

abc: 5.5455 5.5455 11.7825
angles: 76.39 76.39 90.00
Closest atoms and distances in Å follow each position.
Positions (direct):
Pb (0.0533, 0.6250, 0.2500)  2 La 3.26, 2 Pb 3.41, 2 K 3.58
Pb (0.6967, 0.1250, 0.2500)  2 La 3.26, 2 Pb 3.41, 2 K 3.58
La (0.7500, 0.2500, 0.5000)  4 Pb 3.26
K (0.2500, 0.7500, 0.5000)  4 Pb 3.58, 4 La 3.92
Pb (0.8750, 0.9467, 0.7500)  2 La 3.26, 2 Pb 3.41, 2 K 3.58
La (0.0000, 0.0000, 0.0000)  4 Pb 3.26
Pb (0.3750, 0.3033, 0.7500)  2 La 3.26, 2 Pb 3.41, 2 K 3.58
K (0.5000, 0.5000, 0.0000)  4 Pb 3.58, 4 La 3.92

Summary:
Crystal system: tetragonal



The data favor *one*; the next most stable structure lies 221 meV per atom above it.



*one*
DFT (PBE-GGA) results for KLaPb2 after structural relaxation.

abc: 8.3597 6.2642 3.4870
angles: 90.22 64.99 123.34
Closest atoms and distances in Å follow each position.
Positions (direct):
K (0.0000, 0.5000, 0.5000)  2 K 3.49, 8 Pb 3.58-3.59, 2 La 3.79
Pb (0.0000, 0.0000, 0.0000)  4 Pb 3.49-3.79, 4 K 3.58-3.59, 4 La 3.58-3.59
Pb (0.5000, 0.0000, 0.5000)  4 Pb 3.49-3.79, 4 La 3.58-3.59, 4 K 3.58-3.59
La (0.5000, 0.5000, 0.0000)  2 La 3.49, 8 Pb 3.58-3.59, 2 K 3.79

Summary:
Crystal system: monoclinic



*two*
DFT (PBE-GGA) results for KLaPb2 after structural relaxation.

abc: 3.9866 3.9866 10.0483
angles: 90.00 90.00 99.14
Closest atoms and distances in Å follow each position.
Positions (direct):
K (0.0000, 0.0000, 0.4610)  4 Pb 3.72-4.04, 4 K 3.99
La (0.5000, 0.5000, 0.8250)  4 Pb 3.23-3.60
Pb (0.5000, 0.5000, 0.1955)  2 Pb 3.14
Pb (0.0000, 0.0000, 0.0185)  2 Pb 3.14, 2 La 3.23

Summary:
Crystal system: orthorhombic



*three*
DFT (PBE-GGA) results for KLaPb2 after structural relaxation.

abc: 7.9128 7.9128 7.9128
angles: 148.31 141.46 50.73
Closest atoms and distances in Å follow each position.
Positions (direct):
K (0.4636, 0.4636, 0.0000)  6 Pb 3.76-3.84
Pb (0.0770, 0.0770, 0.0000)  2 Pb 3.19, 2 La 3.30
Pb (0.2415, 0.7415, 0.5000)  2 Pb 3.19, 4 La 3.41
La (0.7178, 0.2178, 0.5000)  6 Pb 3.30-3.41

Summary:
Crystal system: orthorhombic



The data favor *one*; the next most stable structure lies 32 meV per atom above it.



*one*
DFT (PBE-GGA) results for KLaPb2 after structural relaxation.

abc: 5.1923 5.1935 4.8479
angles: 90.00 90.00 90.00
Closest atoms and distances in Å follow each position.
Positions (direct):
La (0.0000, 0.5000, 0.5000)  8 Pb 3.55, 4 K 3.67
K (0.5000, 0.0000, 0.5000)  8 Pb 3.55, 4 La 3.67
Pb (0.5000, 0.5000, 0.0000)  4 La 3.55, 4 K 3.55, 4 Pb 3.67
Pb (0.0000, 0.0000, 0.0000)  4 K 3.55, 4 La 3.55, 4 Pb 3.67

Summary:
Crystal system: tetragonal



*two*
DFT (PBE-GGA) results for KLaPb2 after structural relaxation.

abc: 5.7609 5.7609 7.8248
angles: 82.23 82.23 37.10
Closest atoms and distances in Å follow each position.
Positions (direct):
Pb (0.0010, 0.0010, 0.9431)  3 La 3.31-3.44, 4 Pb 3.54-3.67
Pb (0.4990, 0.4990, 0.5569)  3 La 3.31-3.44, 4 Pb 3.54-3.67
La (0.7500, 0.7500, 0.7500)  6 Pb 3.31-3.44, 2 La 3.67
K (0.2500, 0.2500, 0.2500)  2 K 3.67, 6 Pb 3.84-3.88

Summary:
Crystal system: monoclinic



*three*
DFT (PBE-GGA) results for KLaPb2 after structural relaxation.

abc: 3.6511 3.6511 10.2083
angles: 90.00 90.00 90.00
Closest atoms and distances in Å follow each position.
Positions (direct):
Pb (0.0000, 0.0000, 0.9829)  4 La 3.51, 4 Pb 3.65, 4 K 3.76
Pb (0.0000, 0.0000, 0.5171)  4 La 3.51, 4 Pb 3.65, 4 K 3.76
La (0.5000, 0.5000, 0.7500)  8 Pb 3.51, 4 La 3.65
K (0.5000, 0.5000, 0.2500)  4 K 3.65, 8 Pb 3.76

Summary:
Crystal system: tetragonal



*four*
DFT (PBE-GGA) results for KLaPb2 after structural relaxation.

abc: 5.9319 3.8459 5.9315
angles: 90.00 90.00 90.00
Closest atoms and distances in Å follow each position.
Positions (direct):
La (0.5000, 0.6258, 0.8745)  8 Pb 3.53-3.54, 2 La 3.85
Pb (0.5000, 0.1251, 0.3741)  4 La 3.53-3.54, 4 K 3.53-3.54, 2 Pb 3.85
Pb (0.0000, 0.1247, 0.8756)  4 La 3.53-3.54, 4 K 3.53-3.54, 2 Pb 3.85
K (0.0000, 0.6244, 0.3758)  8 Pb 3.53-3.54, 2 K 3.85

Summary:
Crystal system: monoclinic



The data favor *three*; the next most stable structure lies 66 meV per atom above it.



*one*
DFT (PBE-GGA) results for KLaPb2 after structural relaxation.

abc: 6.7301 6.7301 6.1755
angles: 72.91 72.91 30.77
Closest atoms and distances in Å follow each position.
Positions (direct):
K (0.5199, 0.5199, 0.4253)  7 Pb 3.49-3.68, 2 K 3.57, 1 La 3.81
Pb (0.9768, 0.9768, 0.9397)  4 Pb 3.38-3.57, 3 La 3.48-3.60, 4 K 3.54-3.68
La (0.7278, 0.7278, 0.8369)  7 Pb 3.48-3.66, 2 La 3.57, 1 K 3.81
Pb (0.2754, 0.2754, 0.2980)  4 Pb 3.38-3.57, 3 K 3.49-3.63, 4 La 3.57-3.66

Summary:
Crystal system: monoclinic



*two*
DFT (PBE-GGA) results for KLaPb2 after structural relaxation.

abc: 11.5483 11.5483 11.5483
angles: 18.94 18.94 18.94
Closest atoms and distances in Å follow each position.
Positions (direct):
Pb (0.4964, 0.4964, 0.4964)  3 La 3.49, 3 K 3.68, 6 Pb 3.80
La (0.7500, 0.7500, 0.7500)  6 Pb 3.49, 6 La 3.80
K (0.2500, 0.2500, 0.2500)  6 Pb 3.68, 6 K 3.80
Pb (0.0036, 0.0036, 0.0036)  3 La 3.49, 3 K 3.68, 6 Pb 3.80

Summary:
Crystal system: trigonal



The data favor *one*; the next most stable structure lies 56 meV per atom above it.



*one*
DFT (PBE-GGA) results for KLaPb2 after structural relaxation.

abc: 5.7624 5.7624 5.7624
angles: 60.00 60.00 60.00
Closest atoms and distances in Å follow each position.
Positions (direct):
Pb (0.7500, 0.7500, 0.7500)  4 K 3.53, 4 La 3.53
La (0.5000, 0.5000, 0.5000)  8 Pb 3.53
K (0.0000, 0.0000, 0.0000)  8 Pb 3.53
Pb (0.2500, 0.2500, 0.2500)  4 La 3.53, 4 K 3.53

Summary:
Crystal system: cubic



*two*
DFT (PBE-GGA) results for KLaPb2 after structural relaxation.

abc: 6.1197 6.1197 6.1197
angles: 130.02 130.02 73.38
Closest atoms and distances in Å follow each position.
Positions (direct):
Pb (0.0000, 0.0000, 0.0000)  4 La 3.56, 4 K 3.56, 4 Pb 3.66
La (0.7500, 0.2500, 0.5000)  8 Pb 3.56, 4 K 3.66
Pb (0.5000, 0.5000, 0.0000)  4 K 3.56, 4 La 3.56, 4 Pb 3.66
K (0.2500, 0.7500, 0.5000)  8 Pb 3.56, 4 La 3.66

Summary:
Crystal system: tetragonal



The data favor *two*; the next most stable structure lies 39 meV per atom above it.



*one*
DFT (PBE-GGA) results for KLa3Pd after structural relaxation.

abc: 5.4673 5.4673 5.4673
angles: 90.00 90.00 90.00
Closest atoms and distances in Å follow each position.
Positions (direct):
La (0.0000, 0.0000, 0.5000)  2 K 2.73
K (0.0000, 0.0000, 0.0000)  6 La 2.73
Pd (0.5000, 0.5000, 0.5000)  12 La 3.87
La (0.5000, 0.0000, 0.0000)  2 K 2.73
La (0.0000, 0.5000, 0.0000)  2 K 2.73

Summary:
Crystal system: cubic



*two*
DFT (PBE-GGA) results for KLa3Pd after structural relaxation.

abc: 5.8974 5.8974 5.8974
angles: 90.00 90.00 90.00
Closest atoms and distances in Å follow each position.
Positions (direct):
La (0.0000, 0.5000, 0.0000)  2 Pd 2.95
Pd (0.0000, 0.0000, 0.0000)  6 La 2.95
K (0.5000, 0.5000, 0.5000)  12 La 4.17
La (0.0000, 0.0000, 0.5000)  2 Pd 2.95
La (0.5000, 0.0000, 0.0000)  2 Pd 2.95

Summary:
Crystal system: cubic



The data favor *two*; the next most stable structure lies 1157 meV per atom above it.